Material: La3Y6Tm2Th
Method: DFT, GGA-PBE
State: relaxed

Values from the calculation:
E (eV per atom): -5.81
ΔE_f (eV per atom): 0.02
SG: No. 12
D(E_F) (states/eV per cell): 16.6

a = 6.2359 Å, b = 6.2359 Å, c = 11.9206 Å
α = 95.01°, β = 95.01°, γ = 120.01°
Last column: nearest neighbours and their distance in Å.
Atoms (fractional coordinates):
1 La 0.0000 0.0000 0.0000  6 La 3.59-3.60, 6 Y 3.65-3.67
2 La 0.3328 0.6672 0.0000  6 La 3.59-3.61, 6 Y 3.65-3.66
3 La 0.6672 0.3328 0.0000  6 La 3.59-3.61, 6 Y 3.65-3.66
4 Y 0.0880 0.4186 0.2565  1 Th 3.52, 2 Tm 3.54, 6 Y 3.57-3.62, 3 La 3.65-3.66
5 Y 0.2508 0.2508 0.7438  1 Th 3.53, 2 Tm 3.54, 6 Y 3.57-3.62, 3 La 3.65-3.67
6 Y 0.4186 0.0880 0.2565  1 Th 3.52, 2 Tm 3.54, 6 Y 3.57-3.62, 3 La 3.65-3.66
7 Y 0.5814 0.9120 0.7435  1 Th 3.52, 2 Tm 3.54, 6 Y 3.57-3.62, 3 La 3.65-3.66
8 Y 0.7492 0.7492 0.2562  1 Th 3.53, 2 Tm 3.54, 6 Y 3.57-3.62, 3 La 3.65-3.67
9 Y 0.9120 0.5814 0.7435  1 Th 3.52, 2 Tm 3.54, 6 Y 3.57-3.62, 3 La 3.65-3.66
10 Tm 0.1668 0.8332 0.5000  6 Y 3.54, 3 Tm 3.60, 3 Th 3.60
11 Tm 0.8332 0.1668 0.5000  6 Y 3.54, 3 Tm 3.60, 3 Th 3.60
12 Th 0.5000 0.5000 0.5000  6 Y 3.52-3.53, 6 Tm 3.60



Material: YbAu
Method: DFT, GGA-PBE
State: relaxed

Values from the calculation:
E (eV per atom): -3.36
ΔE_f (eV per atom): -0.96
SG: No. 62
D(E_F) (states/eV per cell): 2.8

a = 7.2294 Å, b = 4.6520 Å, c = 5.8109 Å
α = 90.00°, β = 90.00°, γ = 90.00°
Last column: nearest neighbours and their distance in Å.
Atoms (fractional coordinates):
1 Yb 0.1820 0.2500 0.1423  7 Au 3.03-3.12
2 Yb 0.3180 0.7500 0.6423  7 Au 3.03-3.12
3 Yb 0.6820 0.2500 0.3577  7 Au 3.03-3.12
4 Yb 0.8180 0.7500 0.8577  7 Au 3.03-3.12
5 Au 0.0420 0.2500 0.6509  2 Au 2.98, 7 Yb 3.03-3.12
6 Au 0.4580 0.7500 0.1509  2 Au 2.98, 7 Yb 3.03-3.12
7 Au 0.5420 0.2500 0.8491  2 Au 2.98, 7 Yb 3.03-3.12
8 Au 0.9580 0.7500 0.3491  2 Au 2.98, 7 Yb 3.03-3.12



Material: CsRbHg3
Method: DFT, GGA-PBE
State: relaxed

Values from the calculation:
E (eV per atom): -0.57
ΔE_f (eV per atom): -0.02
SG: No. 221
D(E_F) (states/eV per cell): 4.4
Relative energy among the computed polymorphs (meV/atom): 225

a = 6.6745 Å, b = 6.6745 Å, c = 6.6745 Å
α = 90.00°, β = 90.00°, γ = 90.00°
Last column: nearest neighbours and their distance in Å.
Atoms (fractional coordinates):
1 Cs 0.0000 0.0000 0.0000  12 Hg 4.72
2 Rb 0.5000 0.5000 0.5000  6 Hg 3.34
3 Hg 0.0000 0.5000 0.5000  2 Rb 3.34
4 Hg 0.5000 0.0000 0.5000  2 Rb 3.34
5 Hg 0.5000 0.5000 0.0000  2 Rb 3.34



What did the first record say?
Material: La3Y6Tm2Th
Method: DFT, GGA-PBE
State: relaxed

Values from the calculation:
E (eV per atom): -5.81
ΔE_f (eV per atom): 0.02
SG: No. 12
D(E_F) (states/eV per cell): 16.6

a = 6.2359 Å, b = 6.2359 Å, c = 11.9206 Å
α = 95.01°, β = 95.01°, γ = 120.01°
Last column: nearest neighbours and their distance in Å.
Atoms (fractional coordinates):
1 La 0.0000 0.0000 0.0000  6 La 3.59-3.60, 6 Y 3.65-3.67
2 La 0.3328 0.6672 0.0000  6 La 3.59-3.61, 6 Y 3.65-3.66
3 La 0.6672 0.3328 0.0000  6 La 3.59-3.61, 6 Y 3.65-3.66
4 Y 0.0880 0.4186 0.2565  1 Th 3.52, 2 Tm 3.54, 6 Y 3.57-3.62, 3 La 3.65-3.66
5 Y 0.2508 0.2508 0.7438  1 Th 3.53, 2 Tm 3.54, 6 Y 3.57-3.62, 3 La 3.65-3.67
6 Y 0.4186 0.0880 0.2565  1 Th 3.52, 2 Tm 3.54, 6 Y 3.57-3.62, 3 La 3.65-3.66
7 Y 0.5814 0.9120 0.7435  1 Th 3.52, 2 Tm 3.54, 6 Y 3.57-3.62, 3 La 3.65-3.66
8 Y 0.7492 0.7492 0.2562  1 Th 3.53, 2 Tm 3.54, 6 Y 3.57-3.62, 3 La 3.65-3.67
9 Y 0.9120 0.5814 0.7435  1 Th 3.52, 2 Tm 3.54, 6 Y 3.57-3.62, 3 La 3.65-3.66
10 Tm 0.1668 0.8332 0.5000  6 Y 3.54, 3 Tm 3.60, 3 Th 3.60
11 Tm 0.8332 0.1668 0.5000  6 Y 3.54, 3 Tm 3.60, 3 Th 3.60
12 Th 0.5000 0.5000 0.5000  6 Y 3.52-3.53, 6 Tm 3.60